Record 1
Material: InINF2
Method: DFT, PBE
State: relaxed

Lattice parameters (Å, degrees): 4.9591 4.9591 4.0232 90.00 90.00 90.00
Last column: nearest neighbours and their distance in Å.
Fractional positions:
I 0.0000 0.0000 0.0000  2 N 2.01
N 0.0000 0.0000 0.5000  2 I 2.01
F 0.0000 0.5000 0.0000  2 I 2.48
F 0.5000 0.0000 0.0000  2 I 2.48
In 0.5000 0.5000 0.5000  8 F 3.19, 4 N 3.51

As for the total magnetization: 0.00 Bohr magnetons per cell. For the energy relative to the elements, uncorrected, the calculation gives -70 kJ/mol of formula units. The density of states at the Fermi level comes out at 1.12 states/eV/f.u. The calculated volume comes out at 19.79 Å³ per atom.

***

Record 2
Material: KLaZn2N
Method: DFT, PBE
State: relaxed

Lattice parameters (Å, degrees): 5.8502 8.1091 5.8502 90.00 90.00 90.00
Last column: nearest neighbours and their distance in Å.
Fractional positions:
Zn 0.0000 0.0000 0.5000  2 La 2.93
Zn 0.5000 0.0000 0.0000  2 La 2.93
N 0.5000 0.5000 0.5000  4 K 4.14
K 0.0000 0.5000 0.0000  2 La 4.05, 4 N 4.14
La 0.0000 0.0000 0.0000  4 Zn 2.93

As for the total magnetization: 0.01 Bohr magnetons per cell. For the energy relative to the elements, uncorrected, the calculation gives 789 kJ/mol of formula units. The density of states at the Fermi level comes out at 6.61 states/eV/f.u. The calculated volume comes out at 55.51 Å³ per atom.

***

Record 3
Material: MgTc2Ir
Method: DFT, PBE
State: relaxed

Lattice parameters (Å, degrees): 4.2069 2.7767 5.8216 61.59 90.00 90.00
Last column: nearest neighbours and their distance in Å.
Fractional positions:
Ir 0.5000 0.2500 0.2500  2 Mg 2.56, 2 Ir 2.78, 8 Tc 2.86
Mg 0.5000 0.7500 0.7500  2 Ir 2.56, 2 Mg 2.78, 8 Tc 2.79-2.80
Tc 0.0000 0.0142 0.9860  2 Tc 2.42-2.70
Tc 0.0000 0.4858 0.5140  2 Tc 2.42-2.70

As for the total magnetization: 0.00 Bohr magnetons per cell. The density of states at the Fermi level comes out at 2.65 states/eV/f.u. The calculation puts the formation energy from the elements at 0.065 eV per atom. The calculated volume comes out at 14.95 Å³ per atom.

***

Record 4
Material: EuScSn
Method: DFT, PBE
State: relaxed

Lattice parameters (Å, degrees): 3.9148 3.9148 6.1621 108.52 108.52 90.00
Last column: nearest neighbours and their distance in Å.
Fractional positions:
Eu 0.6108 0.6108 0.2216  5 Sc 3.30-3.54, 5 Sn 3.42-3.49
Sc 0.3113 0.3113 0.6226  4 Sn 3.05, 1 Eu 3.30
Sn 0.9279 0.9279 0.8558  4 Sc 3.05

As for the total magnetization: 8.50 Bohr magnetons per cell. The density of states at the Fermi level comes out at 3.88 states/eV/f.u. The calculation puts the formation energy from the elements at -0.361 eV per atom. The calculated volume comes out at 28.12 Å³ per atom.

***

Record 5
Material: HgCO3
Method: DFT, PBE
State: relaxed

Lattice parameters (Å, degrees): 3.5507 3.5507 3.5507 90.00 90.00 90.00
Last column: nearest neighbours and their distance in Å.
Fractional positions:
C 0.0000 0.0000 0.0000  6 O 1.78
Hg 0.5000 0.5000 0.5000  12 O 2.51
O 0.0000 0.5000 0.0000  2 C 1.78
O 0.0000 0.0000 0.5000  2 C 1.78
O 0.5000 0.0000 0.0000  2 C 1.78

As for the total magnetization: 0.55 Bohr magnetons per cell. For the energy relative to the elements, uncorrected, the calculation gives 475 kJ/mol of formula units. The density of states at the Fermi level comes out at 3.00 states/eV/f.u. The calculated volume comes out at 8.95 Å³ per atom.

***

Record 6
Material: TbPmNi
Method: DFT, PBE
State: relaxed

Lattice parameters (Å, degrees): 4.1990 4.5399 4.5399 120.00 90.00 90.00
Last column: nearest neighbours and their distance in Å.
Fractional positions:
Ni 0.9701 0.0000 0.0000  3 Tb 2.77, 3 Pm 2.91
Tb 0.7560 0.6667 0.3333  3 Ni 2.77
Pm 0.2738 0.3333 0.6667  3 Ni 2.91

As for the total magnetization: 0.00 Bohr magnetons per cell. The density of states at the Fermi level comes out at 3.26 states/eV/f.u. The calculation puts the formation energy from the elements at -0.056 eV per atom. The calculated volume comes out at 24.98 Å³ per atom.

***

Record 7
Material: Fe2NiAg
Method: DFT, PBE
State: relaxed

Lattice parameters (Å, degrees): 3.8736 3.6841 3.6841 90.00 90.00 90.00
Last column: nearest neighbours and their distance in Å.
Fractional positions:
Ag 0.5000 0.0000 0.5000  4 Ni 2.61, 8 Fe 2.67
Fe 0.0000 0.0000 0.0000  4 Fe 2.61, 4 Ag 2.67, 4 Ni 2.67
Fe 0.0000 0.5000 0.5000  4 Fe 2.61, 4 Ni 2.67, 4 Ag 2.67
Ni 0.5000 0.5000 0.0000  4 Ag 2.61, 8 Fe 2.67

As for the total magnetization: 6.20 Bohr magnetons per cell. The density of states at the Fermi level comes out at 2.76 states/eV/f.u. The calculation puts the formation energy from the elements at 0.258 eV per atom. The calculated volume comes out at 13.14 Å³ per atom.

***

Record 8
Material: LiCaBe2
Method: DFT, PBE
State: relaxed

Lattice parameters (Å, degrees): 4.0611 4.0611 5.6355 68.38 68.38 60.05
Last column: nearest neighbours and their distance in Å.
Fractional positions:
Be 0.9339 0.9339 0.1994  3 Li 2.36, 3 Be 2.40
Be 0.5661 0.5661 0.3006  3 Li 2.36, 3 Be 2.40
Ca 0.7500 0.7500 0.7500  2 Be 2.81
Li 0.2500 0.2500 0.2500  6 Be 2.36

As for the total magnetization: 0.00 Bohr magnetons per cell. The density of states at the Fermi level comes out at 2.54 states/eV/f.u. The calculation puts the formation energy from the elements at 0.292 eV per atom. The calculated volume comes out at 18.22 Å³ per atom.